No. 1
Entry from the Open Quantum Materials Database: a relaxed RbCoP3O9 crystal (GGA+U).

Lattice parameters (Å, degrees): 6.2416 6.2416 6.2416 107.11 107.11 107.11
Closest atoms and distances in Å follow each position.
Fractional coordinates of all 14 atoms:
Rb 0.0000 0.0000 0.0000  9 O 2.73-3.05
Co 0.5070 0.5070 0.5070  6 O 2.05-2.07
P 0.3994 0.9802 0.5281  4 O 1.49-1.63
P 0.5281 0.3994 0.9802  4 O 1.49-1.63
P 0.9802 0.5281 0.3994  4 O 1.49-1.63
O 0.1236 0.7681 0.3604  2 P 1.61-1.63
O 0.1400 0.3958 0.4505  1 P 1.49
O 0.3604 0.1236 0.7681  2 P 1.61-1.63
O 0.3958 0.4505 0.1400  1 P 1.49
O 0.4505 0.1400 0.3958  1 P 1.49
O 0.5756 0.8716 0.6054  1 P 1.49
O 0.6054 0.5756 0.8716  1 P 1.49
O 0.7681 0.3604 0.1236  2 P 1.61-1.63
O 0.8716 0.6054 0.5756  1 P 1.49

Results
The total energy comes out at -94.96 eV for the cell shown. The space group is No. 146.

---

No. 2
Entry from the Open Quantum Materials Database: a relaxed CoSbPO crystal (GGA+U).

Lattice parameters (Å, degrees): 4.2869 5.7904 5.7175 90.00 90.00 90.00
Closest atoms and distances in Å follow each position.
Fractional coordinates of all 8 atoms:
Co 0.0000 0.1472 0.0000  2 O 2.05-2.07
Co 0.0000 0.8528 0.5000  2 O 2.05-2.07
Sb 0.5000 0.2605 0.4218  2 O 2.22
Sb 0.5000 0.7395 0.9218  2 O 2.22
P 0.5000 0.2837 0.8800  2 Co 2.39, 2 Sb 2.62-2.65
P 0.5000 0.7163 0.3800  2 Co 2.39, 2 Sb 2.62-2.65
O 0.0000 0.1783 0.3603  2 Co 2.05-2.07, 2 Sb 2.22
O 0.0000 0.8217 0.8603  2 Co 2.05-2.07, 2 Sb 2.22

Results
Its energy above the most stable polymorph in this dataset is 83 meV/atom. The space group is No. 26.

---

No. 3
Entry from the Open Quantum Materials Database: a relaxed CoSbPO crystal (GGA+U).

Lattice parameters (Å, degrees): 3.7580 3.7580 8.2598 90.00 90.00 90.00
Closest atoms and distances in Å follow each position.
Fractional coordinates of all 8 atoms:
Co 0.2500 0.7500 0.0000  4 P 2.18
Co 0.7500 0.2500 0.0000  4 P 2.18
Sb 0.2500 0.2500 0.3467  4 O 2.27
Sb 0.7500 0.7500 0.6533  4 O 2.27
P 0.2500 0.2500 0.8666  4 Co 2.18
P 0.7500 0.7500 0.1334  4 Co 2.18
O 0.2500 0.7500 0.5000  4 Sb 2.27
O 0.7500 0.2500 0.5000  4 Sb 2.27

Results
Its energy above the most stable polymorph in this dataset is 0 meV/atom. The space group is No. 129.

---

No. 4
Entry from the Open Quantum Materials Database: a relaxed CoSbPO crystal (GGA+U).

Lattice parameters (Å, degrees): 3.5872 7.5428 5.9291 90.00 90.00 90.00
Closest atoms and distances in Å follow each position.
Fractional coordinates of all 8 atoms:
Co 0.0000 0.1386 0.0000  2 O 2.01
Co 0.0000 0.8614 0.5000  2 O 2.01
Sb 0.5000 0.3458 0.5866  1 O 2.03
Sb 0.5000 0.6542 0.0866  1 O 2.03
P 0.0000 0.1641 0.3992  2 Co 2.36-2.37, 2 Sb 2.52
P 0.0000 0.8359 0.8992  2 Co 2.36-2.37, 2 Sb 2.52
O 0.5000 0.2216 0.8910  2 Co 2.01, 1 Sb 2.03
O 0.5000 0.7784 0.3910  2 Co 2.01, 1 Sb 2.03

Results
Its energy above the most stable polymorph in this dataset is 35 meV/atom. The space group is No. 26.

---

No. 5
Entry from the Open Quantum Materials Database: a relaxed CoSiPO crystal (GGA+U).

Lattice parameters (Å, degrees): 3.0039 6.0462 5.9083 90.00 90.00 90.00
Closest atoms and distances in Å follow each position.
Fractional coordinates of all 8 atoms:
Co 0.0000 0.1166 0.0000  2 O 2.16-2.20, 2 P 2.19
Co 0.0000 0.8834 0.5000  2 O 2.16-2.20, 2 P 2.19
Si 0.5000 0.3312 0.4443  2 O 1.75
Si 0.5000 0.6688 0.9443  2 O 1.75
P 0.5000 0.3157 0.8234  2 Co 2.19, 2 Si 2.24-2.25
P 0.5000 0.6843 0.3234  2 Co 2.19, 2 Si 2.24-2.25
O 0.0000 0.2160 0.3504  2 Si 1.75
O 0.0000 0.7840 0.8504  2 Si 1.75

Results
Its energy above the most stable polymorph in this dataset is 228 meV/atom. The space group is No. 26.

---

No. 6
Entry from the Open Quantum Materials Database: a relaxed CoSiPO crystal (GGA+U).

Lattice parameters (Å, degrees): 3.5387 7.8627 4.4696 90.00 90.00 90.00
Closest atoms and distances in Å follow each position.
Fractional coordinates of all 8 atoms:
Co 0.0000 0.0951 0.0000  3 P 2.38-2.41
Co 0.0000 0.9049 0.5000  3 P 2.38-2.41
Si 0.5000 0.3726 0.5867  2 O 1.65-1.66
Si 0.5000 0.6274 0.0867  2 O 1.65-1.66
P 0.0000 0.2071 0.4981  2 Si 2.23, 3 Co 2.38-2.41
P 0.0000 0.7929 0.9981  2 Si 2.23, 3 Co 2.38-2.41
O 0.5000 0.4332 0.9402  2 Si 1.65-1.66
O 0.5000 0.5668 0.4402  2 Si 1.65-1.66

Results
Its energy above the most stable polymorph in this dataset is 0 meV/atom. The space group is No. 26.

---

No. 7
Entry from the Open Quantum Materials Database: a relaxed CoSiPO crystal (GGA+U).

Lattice parameters (Å, degrees): 3.4419 3.4419 9.0894 90.00 90.00 90.00
Closest atoms and distances in Å follow each position.
Fractional coordinates of all 8 atoms:
Co 0.2500 0.7500 0.0000  4 P 2.15
Co 0.7500 0.2500 0.0000  4 P 2.15
Si 0.2500 0.2500 0.3905  4 O 1.99
Si 0.7500 0.7500 0.6095  4 O 1.99
P 0.2500 0.2500 0.8582  4 Co 2.15
P 0.7500 0.7500 0.1418  4 Co 2.15
O 0.2500 0.7500 0.5000  4 Si 1.99
O 0.7500 0.2500 0.5000  4 Si 1.99

Results
Its energy above the most stable polymorph in this dataset is 347 meV/atom. The space group is No. 129.

---

No. 8
Entry from the Open Quantum Materials Database: a relaxed CoSiPO crystal (GGA+U).

Lattice parameters (Å, degrees): 4.0334 4.0334 7.9005 90.00 90.00 90.00
Closest atoms and distances in Å follow each position.
Fractional coordinates of all 8 atoms:
Co 0.2500 0.2500 0.0499  4 O 2.05
Co 0.7500 0.7500 0.9501  4 O 2.05
Si 0.2500 0.7500 0.5000  4 P 2.34
Si 0.7500 0.2500 0.5000  4 P 2.34
P 0.2500 0.2500 0.3503  4 Si 2.34, 1 Co 2.37
P 0.7500 0.7500 0.6497  4 Si 2.34, 1 Co 2.37
O 0.2500 0.7500 0.0000  4 Co 2.05
O 0.7500 0.2500 0.0000  4 Co 2.05

Results
Its energy above the most stable polymorph in this dataset is 526 meV/atom. The space group is No. 129.

---

No. 9
Entry from the Open Quantum Materials Database: a relaxed SrCoPO crystal (GGA+U).

Lattice parameters (Å, degrees): 4.4176 4.4176 8.9122 90.00 90.00 90.00
Closest atoms and distances in Å follow each position.
Fractional coordinates of all 8 atoms:
Sr 0.2500 0.7500 0.0000  4 P 2.87, 4 Sr 3.12
Sr 0.7500 0.2500 0.0000  4 P 2.87, 4 Sr 3.12
Co 0.2500 0.2500 0.4613  4 O 2.24, 1 P 2.28
Co 0.7500 0.7500 0.5387  4 O 2.24, 1 P 2.28
P 0.2500 0.2500 0.2053  1 Co 2.28
P 0.7500 0.7500 0.7947  1 Co 2.28
O 0.2500 0.7500 0.5000  4 Co 2.24
O 0.7500 0.2500 0.5000  4 Co 2.24

Results
Its energy above the most stable polymorph in this dataset is 1026 meV/atom. The space group is No. 129.

---

No. 10
Entry from the Open Quantum Materials Database: a relaxed SrCoPO crystal (GGA+U).

Lattice parameters (Å, degrees): 3.9608 7.0118 6.0520 90.00 90.00 90.00
Closest atoms and distances in Å follow each position.
Fractional coordinates of all 8 atoms:
Sr 0.0000 0.2252 0.0000  2 O 2.39
Sr 0.0000 0.7748 0.5000  2 O 2.39
Co 0.5000 0.3756 0.5780  2 O 1.92-1.97
Co 0.5000 0.6244 0.0780  2 O 1.92-1.97
P 0.0000 0.2134 0.4994  2 Co 2.33
P 0.0000 0.7866 0.9994  2 Co 2.33
O 0.5000 0.3963 0.9030  2 Co 1.92-1.97
O 0.5000 0.6037 0.4030  2 Co 1.92-1.97

Results
Its energy above the most stable polymorph in this dataset is 86 meV/atom. The space group is No. 26.

---

No. 11
Entry from the Open Quantum Materials Database: a relaxed SrCoPO crystal (GGA+U).

Lattice parameters (Å, degrees): 3.9780 3.9780 8.8613 90.00 90.00 90.00
Closest atoms and distances in Å follow each position.
Fractional coordinates of all 8 atoms:
Sr 0.2500 0.2500 0.1443  4 O 2.36
Sr 0.7500 0.7500 0.8557  4 O 2.36
Co 0.2500 0.7500 0.5000  4 P 2.20
Co 0.7500 0.2500 0.5000  4 P 2.20
P 0.2500 0.2500 0.6065  4 Co 2.20
P 0.7500 0.7500 0.3935  4 Co 2.20
O 0.2500 0.7500 0.0000  4 Sr 2.36
O 0.7500 0.2500 0.0000  4 Sr 2.36

Results
Its energy above the most stable polymorph in this dataset is 0 meV/atom. The space group is No. 129.